(1)
{"formula": "KOsRu", "functional": "PBE", "state": "optimized geometry", "mass_density_kg_m3": 10108, "total_magnetization_mub_per_cell": 0.00, "n_ef_per_ev_cell": 3.18, "e_above_lowest_polymorph_ev_per_atom": 0.344, "delta_e_f_ev_per_atom": 1.11, "lattice": [[0.000, 2.343, 7.983], [1.451, 0.000, 7.983], [1.451, 2.343, 0.000]], "species": ["K", "Os", "Ru"], "fractional_positions": [[0.000, 0.000, 0.000], [0.684, 0.684, 0.316], [0.316, 0.316, 0.684]]}

(2)
{"formula": "KOs2Ru", "functional": "PBE", "state": "optimized geometry", "mass_density_kg_m3": 12794, "total_magnetization_mub_per_cell": 0.00, "n_ef_per_ev_cell": 2.09, "e_above_lowest_polymorph_ev_per_atom": 0.000, "delta_e_f_ev_per_atom": 0.76, "lattice": [[1.380, 0.797, 10.238], [-1.380, 0.797, 10.238], [0.000, -1.594, 10.238]], "species": ["K", "Os", "Os", "Ru"], "fractional_positions": [[0.000, 0.000, 0.000], [0.236, 0.236, 0.236], [0.764, 0.764, 0.764], [0.500, 0.500, 0.500]]}

(3)
{"formula": "KOs2Ru", "functional": "PBE", "state": "optimized geometry", "mass_density_kg_m3": 10742, "total_magnetization_mub_per_cell": 0.82, "n_ef_per_ev_cell": 5.70, "e_above_lowest_polymorph_ev_per_atom": 0.418, "delta_e_f_ev_per_atom": 1.17, "lattice": [[3.134, 0.000, 0.000], [0.000, 3.134, 0.000], [0.000, 0.000, 8.196]], "species": ["K", "Os", "Os", "Ru"], "fractional_positions": [[0.000, 0.000, 0.000], [0.500, 0.500, 0.337], [0.500, 0.500, 0.663], [0.000, 0.000, 0.500]]}